! Sr11Ge4N6 GGA-PBEsol relaxed; values from VASP
! Energy in eV per cell: -211.512
! DOS(E_F) in states/eV per cell: 1.463
! M_tot in μB/f.u.: 0.00
&SYSTEM
  ibrav = 0, nat = 42, ntyp = 3
/
ATOMIC_SPECIES
N 14.01 N.upf
Ge 72.64 Ge.upf
Sr 87.62 Sr.upf
ATOMIC_POSITIONS crystal
N 0.8547 0.3547 0.6835
N 0.5000 0.5000 0.1443
Ge 0.0000 0.5000 0.0000
Ge 0.0000 0.5000 0.2572
Ge 0.5000 0.0000 0.7428
N 0.8547 0.6453 0.3165
Sr 0.8293 0.6707 0.5991
Sr 0.5000 0.5000 0.2748
Sr 0.0000 0.0000 0.7252
N 0.0000 0.0000 0.8557
Sr 0.6707 0.1707 0.5991
Sr 0.2208 0.2792 0.1301
Sr 0.1707 0.3293 0.5991
Ge 0.0000 0.5000 0.7428
Sr 0.7792 0.2792 0.8699
Sr 0.3293 0.1707 0.4009
Sr 0.0000 0.0000 0.2748
Sr 0.7792 0.7208 0.1301
N 0.5000 0.5000 0.8557
Sr 0.0000 0.0000 0.0000
Sr 0.8293 0.3293 0.4009
N 0.1453 0.6453 0.6835
Ge 0.5000 0.0000 0.0000
Sr 0.5000 0.5000 0.7252
N 0.3547 0.8547 0.3165
Ge 0.0000 0.0000 0.5000
Ge 0.5000 0.5000 0.5000
N 0.0000 0.0000 0.1443
Sr 0.2208 0.7208 0.8699
Sr 0.1707 0.6707 0.4009
N 0.6453 0.1453 0.3165
Sr 0.7208 0.7792 0.8699
Sr 0.6707 0.8293 0.4009
Sr 0.7208 0.2208 0.1301
Sr 0.2792 0.2208 0.8699
N 0.6453 0.8547 0.6835
Sr 0.3293 0.8293 0.5991
Sr 0.5000 0.5000 0.0000
Sr 0.2792 0.7792 0.1301
N 0.3547 0.1453 0.6835
Ge 0.5000 0.0000 0.2572
N 0.1453 0.3547 0.3165
CELL_PARAMETERS angstrom
-5.1546 -3.4154 -3.7173
0.1760 -5.4312 4.7460
-12.9733 8.4861 10.1924


! MgTe2BrN GGA-PBEsol relaxed; values from VASP
! E above lowest polymorph in eV/f.u.: 0.00
! DOS(E_F) in states/eV per cell: 4.444
! M_tot in μB/f.u.: 1.62
&SYSTEM
  ibrav = 0, nat = 5, ntyp = 4
/
ATOMIC_SPECIES
Te 127.60 Te.upf
Br 79.90 Br.upf
N 14.01 N.upf
Mg 24.30 Mg.upf
ATOMIC_POSITIONS crystal
Te 0.0000 0.0000 0.5000
Br 0.5000 0.5000 0.5000
N 0.5000 0.0000 0.0000
Te 0.0000 0.5000 0.0000
Mg 0.0000 0.0000 0.0000
CELL_PARAMETERS angstrom
3.8407 0.0000 0.0000
0.0000 5.6390 0.0000
0.0000 0.0000 5.6390


! Dy5Pt4 GGA-PBEsol relaxed; values from VASP
! ΔE_f in eV/atom: -1.128
! DOS(E_F) in states/eV per cell: 23.926
! M_tot in μB/f.u.: 0.00
&SYSTEM
  ibrav = 0, nat = 36, ntyp = 2
/
ATOMIC_SPECIES
Pt 195.08 Pt.upf
Dy 162.50 Dy.upf
ATOMIC_POSITIONS crystal
Pt 0.9527 0.1111 0.2500
Dy 0.1561 0.3328 0.1227
Pt 0.8167 0.4666 0.4589
Pt 0.8156 0.3569 0.7500
Pt 0.1833 0.5334 0.5411
Dy 0.1561 0.3328 0.3773
Pt 0.3167 0.0334 0.0411
Dy 0.8187 0.5118 0.2500
Pt 0.6844 0.8569 0.2500
Dy 0.1813 0.4882 0.7500
Pt 0.4527 0.3889 0.2500
Dy 0.0005 0.8206 0.0932
Dy 0.8439 0.6672 0.6227
Dy 0.9995 0.1794 0.9068
Dy 0.3439 0.8328 0.8773
Dy 0.6561 0.1672 0.3773
Pt 0.3167 0.0334 0.4589
Dy 0.4995 0.3206 0.5932
Pt 0.0473 0.8889 0.7500
Pt 0.3156 0.1431 0.7500
Dy 0.8439 0.6672 0.8773
Dy 0.3439 0.8328 0.6227
Dy 0.5005 0.6794 0.4068
Pt 0.6833 0.9666 0.5411
Pt 0.8167 0.4666 0.0411
Dy 0.0005 0.8206 0.4068
Dy 0.9995 0.1794 0.5932
Pt 0.1833 0.5334 0.9589
Dy 0.6813 0.0118 0.7500
Pt 0.5473 0.6111 0.7500
Dy 0.3187 0.9882 0.2500
Dy 0.6561 0.1672 0.1227
Dy 0.5005 0.6794 0.0932
Pt 0.6833 0.9666 0.9589
Dy 0.4995 0.3206 0.9068
Pt 0.1844 0.6431 0.2500
CELL_PARAMETERS angstrom
-1.0487 -3.8914 6.1804
7.3691 -1.2370 0.4716
1.5129 11.9888 7.8052